A geometry-optimized Pm3Ho4Tl structure. Source: Alexandria via LeMat-Bulk, functional PBE.

Output
E_form   0.0174 eV/atom
Offset from the most stable computed form   0.75 eV per formula unit
Calculated density   8675 kg/m³
Space-group type   P4/mmm (123)

Cell lengths 4.141, 4.141, 14.504 Å; angles 90.00, 90.00, 90.00 degrees
Fractional coordinates of all 8 atoms:
Tl (0.500, 0.500, 0.000)
Ho (0.000, 0.000, 0.889)
Ho (0.000, 0.000, 0.111)
Ho (0.000, 0.000, 0.368)
Ho (0.000, 0.000, 0.632)
Pm (0.500, 0.500, 0.248)
Pm (0.500, 0.500, 0.500)
Pm (0.500, 0.500, 0.752)

A geometry-optimized PmHo6Tl2 structure. Source: Alexandria via LeMat-Bulk, functional PBE.

Output
E_form   -0.1430 eV/atom
Offset from the most stable computed form   0.00 eV per formula unit
Calculated density   9424 kg/m³
Space-group type   C2/m (12)

Cell lengths 3.744, 6.641, 11.863 Å; angles 74.82, 80.92, 73.63 degrees
Fractional coordinates of all 9 atoms:
Pm (0.000, 0.000, 0.000)
Ho (0.687, 0.500, 0.126)
Ho (0.313, 0.500, 0.874)
Ho (0.310, 0.798, 0.583)
Ho (0.988, 0.676, 0.347)
Ho (0.012, 0.324, 0.653)
Ho (0.690, 0.202, 0.417)
Tl (0.359, 0.068, 0.215)
Tl (0.641, 0.932, 0.785)

A geometry-optimized Pm3Ho2Tl4 structure. Source: Alexandria via LeMat-Bulk, functional PBE.

Output
E_form   -0.1804 eV/atom
Offset from the most stable computed form   1.09 eV per formula unit
Calculated density   9341 kg/m³
Space-group type   Cmce (64)

Cell lengths 7.320, 9.898, 8.584 Å; angles 90.00, 115.24, 90.00 degrees
Fractional coordinates of all 18 atoms:
Pm (0.000, 0.000, 0.000)
Pm (0.500, 0.500, 0.000)
Pm (0.534, 0.750, 0.567)
Pm (0.966, 0.250, 0.433)
Pm (0.466, 0.250, 0.433)
Pm (0.034, 0.750, 0.567)
Ho (0.105, 0.551, 0.210)
Ho (0.895, 0.449, 0.790)
Ho (0.395, 0.051, 0.790)
Ho (0.605, 0.949, 0.210)
Tl (0.744, 0.750, 0.987)
Tl (0.756, 0.250, 0.013)
Tl (0.256, 0.250, 0.013)
Tl (0.244, 0.750, 0.987)
Tl (0.198, 0.977, 0.395)
Tl (0.802, 0.023, 0.605)
Tl (0.302, 0.477, 0.605)
Tl (0.698, 0.523, 0.395)

A geometry-optimized Pm5HoTl8 structure. Source: Alexandria via LeMat-Bulk, functional PBE.

Output
E_form   -0.2846 eV/atom
Calculated density   10013 kg/m³
Space-group type   I-4 (82)

Cell lengths 8.164, 8.164, 8.164 Å; angles 109.10, 110.21, 109.10 degrees
Fractional coordinates of all 14 atoms:
Pm (0.994, 0.365, 0.118)
Pm (0.882, 0.875, 0.247)
Pm (0.753, 0.635, 0.628)
Pm (0.500, 0.000, 0.500)
Pm (0.372, 0.125, 0.006)
Ho (0.250, 0.500, 0.750)
Tl (0.125, 0.738, 0.034)
Tl (0.966, 0.091, 0.704)
Tl (0.796, 0.256, 0.385)
Tl (0.615, 0.411, 0.871)
Tl (0.460, 0.589, 0.204)
Tl (0.613, 0.909, 0.875)
Tl (0.296, 0.262, 0.387)
Tl (0.129, 0.744, 0.540)

A geometry-optimized PmHo12Tl6 structure. Source: Alexandria via LeMat-Bulk, functional PBE.

Output
E_form   0.0045 eV/atom
Calculated density   8874 kg/m³
Space-group type   R-3m (166)

Cell lengths 8.870, 8.870, 8.870 Å; angles 103.63, 103.63, 103.63 degrees
Fractional coordinates of all 19 atoms:
Pm (0.000, 0.000, 0.000)
Ho (0.872, 0.128, 0.500)
Ho (0.818, 0.553, 0.553)
Ho (0.553, 0.553, 0.818)
Ho (0.447, 0.182, 0.447)
Ho (0.447, 0.447, 0.182)
Ho (0.182, 0.447, 0.447)
Ho (0.128, 0.500, 0.872)
Ho (0.500, 0.872, 0.128)
Ho (0.128, 0.872, 0.500)
Ho (0.872, 0.500, 0.128)
Ho (0.500, 0.128, 0.872)
Ho (0.553, 0.818, 0.553)
Tl (0.692, 0.238, 0.238)
Tl (0.238, 0.238, 0.692)
Tl (0.238, 0.692, 0.238)
Tl (0.762, 0.762, 0.308)
Tl (0.308, 0.762, 0.762)
Tl (0.762, 0.308, 0.762)

A geometry-optimized Pm14HoTl structure. Source: Alexandria via LeMat-Bulk, functional PBE.

Output
E_form   -0.0226 eV/atom
Calculated density   7493 kg/m³
Space-group type   P4/mmm (123)

Cell lengths 7.199, 7.199, 10.258 Å; angles 90.00, 90.00, 89.99 degrees
Fractional coordinates of all 16 atoms:
Pm (0.375, 0.625, 0.500)
Pm (0.875, 0.125, 0.500)
Pm (0.875, 0.625, 0.000)
Pm (0.875, 0.625, 0.500)
Pm (0.375, 0.125, 0.000)
Pm (0.375, 0.125, 0.500)
Pm (0.624, 0.874, 0.754)
Pm (0.624, 0.874, 0.246)
Pm (0.126, 0.376, 0.754)
Pm (0.126, 0.376, 0.246)
Pm (0.126, 0.874, 0.754)
Pm (0.126, 0.874, 0.246)
Pm (0.624, 0.376, 0.754)
Pm (0.624, 0.376, 0.246)
Ho (0.875, 0.125, 0.000)
Tl (0.375, 0.625, 0.000)

A geometry-optimized Pm5HoTl structure. Source: Alexandria via LeMat-Bulk, functional PBE.

Output
E_form   0.1713 eV/atom
Calculated density   7517 kg/m³
Space-group type   P4/mmm (123)

Cell lengths 4.813, 4.813, 10.435 Å; angles 90.00, 90.00, 90.00 degrees
Fractional coordinates of all 7 atoms:
Pm (0.500, 0.500, 0.000)
Pm (0.500, 0.000, 0.245)
Pm (0.000, 0.500, 0.245)
Pm (0.500, 0.000, 0.755)
Pm (0.000, 0.500, 0.755)
Ho (0.000, 0.000, 0.500)
Tl (0.000, 0.000, 0.000)

A geometry-optimized Pm5Ho12Tl2 structure. Source: Alexandria via LeMat-Bulk, functional PBE.

Output
E_form   0.0163 eV/atom
Calculated density   8600 kg/m³
Space-group type   C2/m (12)

Cell lengths 9.355, 12.088, 8.340 Å; angles 131.79, 90.00, 112.77 degrees
Fractional coordinates of all 19 atoms:
Pm (0.308, 0.617, 0.624)
Pm (0.234, 0.468, 0.889)
Pm (0.000, 0.000, 0.500)
Pm (0.766, 0.532, 0.111)
Pm (0.692, 0.383, 0.376)
Ho (0.081, 0.162, 0.280)
Ho (0.037, 0.707, 0.943)
Ho (0.670, 0.707, 0.943)
Ho (0.180, 0.748, 0.411)
Ho (0.568, 0.748, 0.411)
Ho (0.553, 0.106, 0.783)
Ho (0.447, 0.894, 0.217)
Ho (0.820, 0.252, 0.589)
Ho (0.432, 0.252, 0.589)
Ho (0.963, 0.293, 0.057)
Ho (0.330, 0.293, 0.057)
Ho (0.919, 0.838, 0.720)
Tl (0.686, 0.000, 0.000)
Tl (0.314, 0.000, 0.000)

In states/eV/atom, the DOS(E_F) values for the records above are, in order, 1.62; 1.34; 0.68; 0.92; 1.43; 1.30; 1.41; 1.43.
In eV/atom, the electronic total energy values for the records above are, in order, -4.349; -4.249; -3.833; -3.660; -3.884; -4.613; -4.214; -4.374.